Density functional theory data (PBE-GGA) for an optimized crystal structure of Cd2FeIr.

## Properties
Relative energy among the computed polymorphs = 239 meV/atom
Spin magnetization = 12.3 μB per cell
Total energy = -4.446 eV per atom
ΔH_f (0 K) = 0.3425 eV/atom
Calculated volume = 268.47 Å³/cell

abc: 6.451 6.451 6.451
angles: 90.00 90.00 90.00
Space group Fm-3m (No. 225)
One atom of each set of equivalent atoms:
Cd 0.250 0.250 0.250 x8
Fe 0.000 0.000 0.000 x4
Ir 0.000 0.000 0.500 x4


Density functional theory data (PBE-GGA) for an optimized crystal structure of LiCd2FeIr.

## Properties
Spin magnetization = 1.0 μB per cell
Total energy = -3.619 eV per atom
ΔH_f (0 K) = 0.5949 eV/atom
Calculated volume = 109.30 Å³/cell

abc: 4.967 4.967 4.430
angles: 90.00 90.00 90.00
Space group P4/mmm (No. 123)
One atom of each set of equivalent atoms:
Li 0.000 0.000 0.000 x1
Cd 0.000 0.500 0.500 x2
Fe 0.500 0.500 0.500 x1
Ir 0.500 0.500 0.000 x1


Density functional theory data (PBE-GGA) for an optimized crystal structure of Li2CdFeIr.

## Properties
Spin magnetization = 1.6 μB per cell
Total energy = -3.810 eV per atom
ΔH_f (0 K) = 0.6032 eV/atom
Calculated volume = 88.30 Å³/cell

abc: 4.452 4.452 4.455
angles: 90.00 90.00 90.00
Space group P4/mmm (No. 123)
One atom of each set of equivalent atoms:
Li 0.000 0.500 0.000 x2
Cd 0.000 0.000 0.500 x1
Fe 0.500 0.500 0.000 x1
Ir 0.500 0.500 0.500 x1


Density functional theory data (PBE-GGA) for an optimized crystal structure of Mg2CdFeIr.

## Properties
Spin magnetization = 3.5 μB per cell
Total energy = -3.016 eV per atom
ΔH_f (0 K) = 1.2699 eV/atom
Calculated volume = 119.20 Å³/cell

abc: 4.889 4.889 4.987
angles: 90.00 90.00 90.00
Space group P4/mmm (No. 123)
One atom of each set of equivalent atoms:
Mg 0.000 0.500 0.000 x2
Cd 0.000 0.000 0.000 x1
Fe 0.500 0.500 0.500 x1
Ir 0.000 0.000 0.500 x1